! KTlS2Cl PBE optimized geometry; values from VASP
! E_form (uncorrected) = -0.38 eV per atom
! SG = No. 123
! electronic total energy = -3.0925 eV per atom
! crystal system = tetragonal
! energy above the most stable polymorph in this dataset = 0.0000 eV/atom
&SYSTEM
  ibrav = 0, nat = 5, ntyp = 4
/
ATOMIC_SPECIES
S 32.06 S.upf
Tl 204.38 Tl.upf
K 39.10 K.upf
Cl 35.45 Cl.upf
CELL_PARAMETERS angstrom
-1.4211 4.9188 0.3557
-2.9646 -0.5562 -4.1524
-4.3822 -1.5069 3.3305
ATOMIC_POSITIONS angstrom
S -1.4823 -0.2781 -2.0762
S -0.7106 2.4594 0.1779
Tl 0.0000 0.0000 0.0000
K -4.3840 1.4278 -0.2331
Cl -2.1911 -0.7535 1.6653


! KTlS2Cl PBE optimized geometry; values from VASP
! E_form (uncorrected) = 0.19 eV per atom
! SG = No. 123
! electronic total energy = -2.5262 eV per atom
! crystal system = tetragonal
! energy above the most stable polymorph in this dataset = 0.5663 eV/atom
&SYSTEM
  ibrav = 0, nat = 5, ntyp = 4
/
ATOMIC_SPECIES
S 32.06 S.upf
Tl 204.38 Tl.upf
K 39.10 K.upf
Cl 35.45 Cl.upf
CELL_PARAMETERS angstrom
-2.7109 5.0802 -1.1658
0.1618 -1.2314 -5.7423
-5.1310 -2.6412 0.4218
ATOMIC_POSITIONS angstrom
S 0.0809 -0.6157 -2.8712
S -1.3554 2.5401 -0.5829
Tl -3.8400 0.6038 -3.2432
K 0.0000 0.0000 0.0000
Cl -2.5655 -1.3206 0.2109


! K2US2Cl4 PBE optimized geometry; values from VASP
! E_form (uncorrected) = -1.55 eV per atom
! SG = No. 12
! electronic total energy = -4.7900 eV per atom
! crystal system = monoclinic
&SYSTEM
  ibrav = 0, nat = 9, ntyp = 4
/
ATOMIC_SPECIES
K 39.10 K.upf
U 238.03 U.upf
S 32.06 S.upf
Cl 35.45 Cl.upf
CELL_PARAMETERS angstrom
-3.2633 -1.4712 6.4340
3.6350 -3.7681 5.2751
2.2987 3.3481 6.2245
ATOMIC_POSITIONS angstrom
K 3.6000 -0.7088 10.3799
K -0.9295 -1.1823 7.5537
U -1.6317 -0.7356 3.2170
S 0.6281 -0.3955 3.8486
S 2.0423 -1.4956 14.0850
Cl 2.1020 -2.4096 6.9488
Cl 1.2379 -3.0468 10.5091
Cl 0.5684 0.5185 10.9847
Cl 1.4325 1.1557 7.4245


! K3U2S5Cl2 PBE optimized geometry; values from VASP
! E_form (uncorrected) = -1.51 eV per atom
! SG = No. 139
! electronic total energy = -5.6936 eV per atom
! crystal system = tetragonal
&SYSTEM
  ibrav = 0, nat = 12, ntyp = 4
/
ATOMIC_SPECIES
K 39.10 K.upf
U 238.03 U.upf
S 32.06 S.upf
Cl 35.45 Cl.upf
CELL_PARAMETERS angstrom
5.2339 0.0000 0.0000
0.0000 5.2339 0.0000
-2.6170 -2.6170 13.2491
ATOMIC_POSITIONS angstrom
K 0.0000 0.0000 4.7580
K 2.6170 2.6170 8.4911
K 0.0000 0.0000 0.0000
U 0.0000 0.0000 10.6578
U 2.6170 2.6170 2.5913
S 2.6170 0.0000 2.6436
S 0.0000 2.6170 10.6055
S 0.0000 2.6170 2.6436
S 2.6170 0.0000 10.6055
S 2.6170 2.6170 0.0000
Cl 2.6170 2.6170 5.3298
Cl 0.0000 0.0000 7.9193


! KWS2Cl PBE optimized geometry; values from VASP
! E_form (uncorrected) = 1.68 eV per atom
! SG = No. 123
! electronic total energy = -3.1532 eV per atom
! crystal system = tetragonal
! energy above the most stable polymorph in this dataset = 2.3439 eV/atom
&SYSTEM
  ibrav = 0, nat = 5, ntyp = 4
/
ATOMIC_SPECIES
K 39.10 K.upf
S 32.06 S.upf
W 183.84 W.upf
Cl 35.45 Cl.upf
CELL_PARAMETERS angstrom
5.4347 0.0000 0.0000
0.0000 5.4347 0.0000
0.0000 0.0000 5.2461
ATOMIC_POSITIONS angstrom
K 0.0000 0.0000 0.0000
S 0.0000 2.7173 0.0000
S 2.7173 0.0000 0.0000
W 2.7173 2.7173 2.6231
Cl 0.0000 0.0000 2.6231


! KWS2Cl PBE optimized geometry; values from VASP
! E_form (uncorrected) = -0.67 eV per atom
! SG = No. 123
! electronic total energy = -5.4971 eV per atom
! crystal system = tetragonal
! energy above the most stable polymorph in this dataset = 0.0000 eV/atom
&SYSTEM
  ibrav = 0, nat = 5, ntyp = 4
/
ATOMIC_SPECIES
K 39.10 K.upf
S 32.06 S.upf
W 183.84 W.upf
Cl 35.45 Cl.upf
CELL_PARAMETERS angstrom
4.6875 0.0000 0.0000
0.0000 4.6875 0.0000
0.0000 0.0000 5.2300
ATOMIC_POSITIONS angstrom
K 2.3437 2.3437 2.6150
S 0.0000 2.3437 0.0000
S 2.3437 0.0000 0.0000
W 0.0000 0.0000 0.0000
Cl 0.0000 0.0000 2.6150